Computed, not measured: Rb4CeY3Se8 after structural relaxation at the GGA-PBE level of DFT.

Output
* crystal system: trigonal
* raw formation energy: -1725 meV/atom
* density of states at the Fermi level: 5.049 states/eV per cell

Unit cell a=9.406 b=9.406 c=9.406 alpha=54.29 beta=54.29 gamma=54.29
Fractional coordinates of all 16 atoms:
Rb1 0.000 0.000 0.000
Rb2 0.000 0.500 0.500
Rb3 0.500 0.000 0.500
Rb4 0.500 0.500 0.000
Ce1 0.500 0.500 0.500
Y1 0.000 0.000 0.500
Y2 0.000 0.500 0.000
Y3 0.500 0.000 0.000
Se1 0.225 0.736 0.736
Se2 0.232 0.232 0.232
Se3 0.264 0.264 0.775
Se4 0.264 0.775 0.264
Se5 0.736 0.225 0.736
Se6 0.736 0.736 0.225
Se7 0.768 0.768 0.768
Se8 0.775 0.264 0.264



Computed, not measured: Ti2Sb2Os after structural relaxation at the GGA-PBE level of DFT.

Output
* crystal system: tetragonal
* raw formation energy: 49 meV/atom
* E above lowest polymorph: 0.0 kJ per mole of atoms
* density of states at the Fermi level: 9.207 states/eV per cell

Unit cell a=6.837 b=6.837 c=4.096 alpha=90.00 beta=90.00 gamma=90.00
Fractional coordinates of all 10 atoms:
Ti1 0.150 0.350 0.000
Ti2 0.350 0.850 0.000
Ti3 0.650 0.150 0.000
Ti4 0.850 0.650 0.000
Sb1 0.151 0.651 0.500
Sb2 0.349 0.151 0.500
Sb3 0.651 0.849 0.500
Sb4 0.849 0.349 0.500
Os1 0.000 0.000 0.500
Os2 0.500 0.500 0.500



Computed, not measured: YAl7Fe5 after structural relaxation at the GGA-PBE level of DFT.

Output
* crystal system: orthorhombic
* density of states at the Fermi level: 9.080 states/eV per cell
* calculated formation energy: -0.40 eV/atom

Unit cell a=6.604 b=6.604 c=6.604 alpha=135.35 beta=98.20 gamma=98.40
Fractional coordinates of all 13 atoms:
Y1 0.000 0.000 0.000
Al1 0.210 0.500 0.710
Al2 0.329 0.987 0.342
Al3 0.335 0.335 0.000
Al4 0.644 0.987 0.658
Al5 0.655 0.655 0.000
Al6 0.769 0.269 0.500
Al7 0.790 0.500 0.290
Fe1 0.231 0.731 0.500
Fe2 0.494 0.492 0.498
Fe3 0.494 0.996 0.003
Fe4 0.994 0.492 0.997
Fe5 0.994 0.996 0.502



Computed, not measured: YSi2Cl after structural relaxation at the GGA-PBE level of DFT.

Output
* crystal system: monoclinic
* raw formation energy: -638 meV/atom
* E above lowest polymorph: 19.8 kJ per mole of atoms
* density of states at the Fermi level: 2.995 states/eV per cell

Unit cell a=3.543 b=3.573 c=7.547 alpha=90.00 beta=99.55 gamma=90.00
Fractional coordinates of all 4 atoms:
Y1 0.000 0.000 0.000
Si1 0.387 0.000 0.682
Si2 0.889 0.500 0.686
Cl1 0.561 0.500 0.174



Computed, not measured: Na4InHg7 after structural relaxation at the GGA-PBE level of DFT.

Output
* crystal system: triclinic
* density of states at the Fermi level: 4.054 states/eV per cell
* calculated formation energy: -0.19 eV/atom

Unit cell a=6.459 b=6.680 c=8.197 alpha=75.26 beta=74.55 gamma=67.82
Fractional coordinates of all 12 atoms:
Na1 0.151 0.160 0.338
Na2 0.277 0.312 0.678
Na3 0.723 0.688 0.322
Na4 0.849 0.840 0.662
In1 0.000 0.000 0.000
Hg1 0.228 0.661 0.330
Hg2 0.247 0.494 0.003
Hg3 0.360 0.805 0.661
Hg4 0.500 0.000 0.000
Hg5 0.640 0.195 0.339
Hg6 0.753 0.506 0.997
Hg7 0.772 0.339 0.670



Computed, not measured: Ac2AgIr after structural relaxation at the GGA-PBE level of DFT.

Output
* crystal system: trigonal
* E above lowest polymorph: 0.0 kJ per mole of atoms
* density of states at the Fermi level: 1.263 states/eV per cell
* calculated formation energy: -0.49 eV/atom

Unit cell a=8.203 b=8.203 c=8.203 alpha=30.98 beta=30.98 gamma=30.98
Fractional coordinates of all 4 atoms:
Ac1 0.000 0.000 0.000
Ac2 0.196 0.196 0.196
Ag1 0.432 0.432 0.432
Ir1 0.598 0.598 0.598



Computed, not measured: Tb2Pm2SmHo2 after structural relaxation at the GGA-PBE level of DFT.

Output
* crystal system: monoclinic
* density of states at the Fermi level: 9.402 states/eV per cell
* calculated formation energy: 0.02 eV/atom

Unit cell a=6.201 b=6.201 c=8.028 alpha=97.45 beta=97.45 gamma=48.24
Fractional coordinates of all 7 atoms:
Tb1 0.215 0.215 0.141
Tb2 0.785 0.785 0.859
Pm1 0.357 0.357 0.572
Pm2 0.643 0.643 0.428
Sm1 0.500 0.500 0.000
Ho1 0.072 0.072 0.715
Ho2 0.928 0.928 0.285



Computed, not measured: LaNb2Pt2 after structural relaxation at the GGA-PBE level of DFT.

Output
* crystal system: tetragonal
* E above lowest polymorph: 10.6 kJ per mole of atoms
* density of states at the Fermi level: 18.933 states/eV per cell
* calculated formation energy: -0.41 eV/atom

Unit cell a=8.250 b=8.250 c=2.877 alpha=90.00 beta=90.00 gamma=90.00
Fractional coordinates of all 10 atoms:
La1 0.000 0.000 0.000
La2 0.500 0.500 0.000
Nb1 0.119 0.381 0.000
Nb2 0.381 0.881 0.000
Nb3 0.619 0.119 0.000
Nb4 0.881 0.619 0.000
Pt1 0.174 0.674 0.500
Pt2 0.326 0.174 0.500
Pt3 0.674 0.826 0.500
Pt4 0.826 0.326 0.500



Computed, not measured: Ho2Al2Zn15 after structural relaxation at the GGA-PBE level of DFT.

Output
* crystal system: trigonal
* density of states at the Fermi level: 6.919 states/eV per cell
* calculated formation energy: -0.22 eV/atom

Unit cell a=6.790 b=6.790 c=6.790 alpha=83.19 beta=83.19 gamma=83.19
Fractional coordinates of all 19 atoms:
Ho1 0.164 0.164 0.164
Ho2 0.836 0.836 0.836
Al1 0.400 0.400 0.400
Al2 0.600 0.600 0.600
Zn1 0.000 0.500 0.500
Zn2 0.148 0.148 0.665
Zn3 0.148 0.665 0.148
Zn4 0.197 0.500 0.803
Zn5 0.197 0.803 0.500
Zn6 0.335 0.852 0.852
Zn7 0.500 0.000 0.500
Zn8 0.500 0.197 0.803
Zn9 0.500 0.500 0.000
Zn10 0.500 0.803 0.197
Zn11 0.665 0.148 0.148
Zn12 0.803 0.197 0.500
Zn13 0.803 0.500 0.197
Zn14 0.852 0.335 0.852
Zn15 0.852 0.852 0.335



Computed, not measured: Nd12YTl3 after structural relaxation at the GGA-PBE level of DFT.

Output
* crystal system: tetragonal
* density of states at the Fermi level: 23.087 states/eV per cell
* calculated formation energy: -0.15 eV/atom

Unit cell a=5.011 b=5.011 c=20.484 alpha=90.00 beta=90.00 gamma=90.00
Fractional coordinates of all 16 atoms:
Nd1 0.000 0.000 0.000
Nd2 0.000 0.000 0.245
Nd3 0.000 0.000 0.500
Nd4 0.000 0.000 0.755
Nd5 0.000 0.500 0.123
Nd6 0.000 0.500 0.369
Nd7 0.000 0.500 0.631
Nd8 0.000 0.500 0.877
Nd9 0.500 0.000 0.123
Nd10 0.500 0.000 0.369
Nd11 0.500 0.000 0.631
Nd12 0.500 0.000 0.877
Y1 0.500 0.500 0.500
Tl1 0.500 0.500 0.000
Tl2 0.500 0.500 0.243
Tl3 0.500 0.500 0.757



Computed, not measured: KNaCdPb after structural relaxation at the GGA-PBE level of DFT.

Output
* crystal system: cubic
* density of states at the Fermi level: 1.057 states/eV per cell
* calculated formation energy: -0.12 eV/atom

Unit cell a=5.526 b=5.526 c=5.526 alpha=60.00 beta=60.00 gamma=60.00
Fractional coordinates of all 4 atoms:
K1 0.000 0.000 0.000
Na1 0.750 0.750 0.750
Cd1 0.250 0.250 0.250
Pb1 0.500 0.500 0.500



Computed, not measured: RbBaSeBr2 after structural relaxation at the GGA-PBE level of DFT.

Output
* crystal system: tetragonal
* raw formation energy: -993 meV/atom
* E above lowest polymorph: 39.0 kJ per mole of atoms
* density of states at the Fermi level: 3.821 states/eV per cell

Unit cell a=6.041 b=6.041 c=5.755 alpha=90.00 beta=90.00 gamma=90.00
Fractional coordinates of all 5 atoms:
Rb1 0.000 0.000 0.000
Ba1 0.500 0.500 0.500
Se1 0.000 0.000 0.500
Br1 0.000 0.500 0.000
Br2 0.500 0.000 0.000



Computed, not measured: Nb2RuI after structural relaxation at the GGA-PBE level of DFT.

Output
* crystal system: tetragonal
* raw formation energy: 997 meV/atom
* E above lowest polymorph: 42.5 kJ per mole of atoms
* density of states at the Fermi level: 11.415 states/eV per cell

Unit cell a=7.777 b=7.777 c=7.777 alpha=137.00 beta=137.00 gamma=62.44
Fractional coordinates of all 8 atoms:
Nb1 0.066 0.625 0.941
Nb2 0.375 0.316 0.441
Nb3 0.684 0.125 0.059
Nb4 0.875 0.934 0.559
Ru1 0.000 0.000 0.000
Ru2 0.750 0.250 0.500
I1 0.250 0.750 0.500
I2 0.500 0.500 0.000



Computed, not measured: Sr4TiP4 after structural relaxation at the GGA-PBE level of DFT.

Output
* crystal system: cubic
* calculated formation energy: -1.12 eV/atom

Unit cell a=12.646 b=12.646 c=12.646 alpha=90.00 beta=90.00 gamma=90.00
Fractional coordinates of all 72 atoms:
Sr1 0.094 0.137 0.648
Sr2 0.094 0.863 0.352
Sr3 0.137 0.352 0.906
Sr4 0.137 0.648 0.094
Sr5 0.148 0.148 0.148
Sr6 0.148 0.363 0.406
Sr7 0.148 0.637 0.594
Sr8 0.148 0.852 0.852
Sr9 0.352 0.094 0.863
Sr10 0.352 0.352 0.648
Sr11 0.352 0.648 0.352
Sr12 0.352 0.906 0.137
Sr13 0.363 0.406 0.148
Sr14 0.363 0.594 0.852
Sr15 0.406 0.148 0.363
Sr16 0.406 0.852 0.637
Sr17 0.594 0.148 0.637
Sr18 0.594 0.852 0.363
Sr19 0.637 0.406 0.852
Sr20 0.637 0.594 0.148
Sr21 0.648 0.094 0.137
Sr22 0.648 0.352 0.352
Sr23 0.648 0.648 0.648
Sr24 0.648 0.906 0.863
Sr25 0.852 0.148 0.852
Sr26 0.852 0.363 0.594
Sr27 0.852 0.637 0.406
Sr28 0.852 0.852 0.148
Sr29 0.863 0.352 0.094
Sr30 0.863 0.648 0.906
Sr31 0.906 0.137 0.352
Sr32 0.906 0.863 0.648
Ti1 0.000 0.000 0.000
Ti2 0.000 0.500 0.250
Ti3 0.000 0.500 0.750
Ti4 0.250 0.000 0.500
Ti5 0.500 0.250 0.000
Ti6 0.500 0.500 0.500
Ti7 0.500 0.750 0.000
Ti8 0.750 0.000 0.500
P1 0.108 0.385 0.646
P2 0.108 0.615 0.354
P3 0.109 0.109 0.891
P4 0.109 0.891 0.109
P5 0.115 0.392 0.146
P6 0.115 0.608 0.854
P7 0.146 0.115 0.392
P8 0.146 0.885 0.608
P9 0.354 0.108 0.615
P10 0.354 0.892 0.385
P11 0.385 0.354 0.892
P12 0.385 0.646 0.108
P13 0.391 0.391 0.391
P14 0.391 0.609 0.609
P15 0.392 0.146 0.115
P16 0.392 0.854 0.885
P17 0.608 0.146 0.885
P18 0.608 0.854 0.115
P19 0.609 0.391 0.609
P20 0.609 0.609 0.391
P21 0.615 0.354 0.108
P22 0.615 0.646 0.892
P23 0.646 0.108 0.385
P24 0.646 0.892 0.615
P25 0.854 0.115 0.608
P26 0.854 0.885 0.392
P27 0.885 0.392 0.854
P28 0.885 0.608 0.146
P29 0.891 0.109 0.109
P30 0.891 0.891 0.891
P31 0.892 0.385 0.354
P32 0.892 0.615 0.646



Computed, not measured: ScIrBr after structural relaxation at the GGA-PBE level of DFT.

Output
* crystal system: tetragonal
* raw formation energy: -475 meV/atom
* E above lowest polymorph: 6.4 kJ per mole of atoms
* density of states at the Fermi level: 0.894 states/eV per cell

Unit cell a=6.617 b=6.617 c=6.617 alpha=152.51 beta=152.51 gamma=39.27
Fractional coordinates of all 3 atoms:
Sc1 0.000 0.000 0.000
Ir1 0.373 0.373 0.000
Br1 0.652 0.652 0.000



Computed, not measured: ScMnTe2Ru after structural relaxation at the GGA-PBE level of DFT.

Output
* crystal system: tetragonal
* raw formation energy: 1275 meV/atom
* density of states at the Fermi level: 10.138 states/eV per cell

Unit cell a=5.443 b=5.443 c=4.573 alpha=90.00 beta=90.00 gamma=90.00
Fractional coordinates of all 5 atoms:
Sc1 0.000 0.000 0.000
Mn1 0.500 0.500 0.500
Te1 0.000 0.500 0.000
Te2 0.500 0.000 0.000
Ru1 0.000 0.000 0.500



Computed, not measured: Li2PaNb2Se6 after structural relaxation at the GGA-PBE level of DFT.

Output
* crystal system: monoclinic
* raw formation energy: -1081 meV/atom
* density of states at the Fermi level: 4.747 states/eV per cell

Unit cell a=6.414 b=6.414 c=6.975 alpha=97.54 beta=97.54 gamma=118.14
Fractional coordinates of all 11 atoms:
Li1 0.174 0.826 0.000
Li2 0.826 0.174 0.000
Pa1 0.000 0.000 0.500
Nb1 0.367 0.633 0.500
Nb2 0.633 0.367 0.500
Se1 0.062 0.422 0.733
Se2 0.261 0.261 0.229
Se3 0.422 0.062 0.733
Se4 0.578 0.938 0.267
Se5 0.739 0.739 0.771
Se6 0.938 0.578 0.267



Computed, not measured: AgMo2Cl after structural relaxation at the GGA-PBE level of DFT.

Output
* crystal system: monoclinic
* raw formation energy: 714 meV/atom
* E above lowest polymorph: 50.4 kJ per mole of atoms
* density of states at the Fermi level: 2.953 states/eV per cell

Unit cell a=5.544 b=5.544 c=4.688 alpha=114.90 beta=114.90 gamma=30.77
Fractional coordinates of all 4 atoms:
Ag1 0.000 0.000 0.000
Mo1 0.226 0.226 0.726
Mo2 0.774 0.774 0.274
Cl1 0.500 0.500 0.500



Computed, not measured: Sc2AgW after structural relaxation at the GGA-PBE level of DFT.

Output
* crystal system: monoclinic
* E above lowest polymorph: 9.8 kJ per mole of atoms
* density of states at the Fermi level: 2.482 states/eV per cell
* calculated formation energy: 0.15 eV/atom

Unit cell a=5.471 b=5.471 c=5.109 alpha=104.69 beta=104.69 gamma=31.95
Fractional coordinates of all 4 atoms:
Sc1 0.000 0.000 0.000
Sc2 0.211 0.211 0.619
Ag1 0.748 0.748 0.140
W1 0.468 0.468 0.493



Computed, not measured: Ba3Li2Ge4 after structural relaxation at the GGA-PBE level of DFT.

Output
* crystal system: triclinic
* density of states at the Fermi level: 2.292 states/eV per cell
* calculated formation energy: -0.48 eV/atom

Unit cell a=4.593 b=6.470 c=9.457 alpha=99.64 beta=90.05 gamma=110.75
Fractional coordinates of all 9 atoms:
Ba1 0.000 0.000 0.000
Ba2 0.387 0.773 0.603
Ba3 0.613 0.227 0.397
Li1 0.323 0.646 0.200
Li2 0.677 0.354 0.800
Ge1 0.117 0.234 0.684
Ge2 0.275 0.548 0.914
Ge3 0.725 0.452 0.086
Ge4 0.883 0.766 0.316



Computed, not measured: MnReP2 after structural relaxation at the GGA-PBE level of DFT.

Output
* crystal system: cubic
* E above lowest polymorph: 66.0 kJ per mole of atoms
* density of states at the Fermi level: 2.005 states/eV per cell
* calculated formation energy: 0.42 eV/atom

Unit cell a=4.228 b=4.228 c=4.228 alpha=60.00 beta=60.00 gamma=60.00
Fractional coordinates of all 4 atoms:
Mn1 0.000 0.000 0.000
Re1 0.250 0.250 0.250
P1 0.500 0.500 0.500
P2 0.750 0.750 0.750



| no. | raw total energy (eV/cell) | calculated volume (Å³/cell) |
| --- | --- | --- |
| 1 | -84.7 | 510.0 |
| 2 | -70.0 | 191.5 |
| 3 | -80.1 | 187.3 |
| 4 | -21.7 | 94.2 |
| 5 | -12.4 | 311.0 |
| 6 | -21.9 | 129.8 |
| 7 | -32.5 | 227.9 |
| 8 | -78.4 | 195.8 |
| 9 | -39.9 | 306.9 |
| 10 | -73.1 | 514.4 |
| 11 | -7.5 | 119.4 |
| 12 | -14.7 | 210.0 |
| 13 | -54.0 | 216.1 |
| 14 | -370.7 | 2022.2 |
| 15 | -18.3 | 61.6 |
| 16 | -24.7 | 135.5 |
| 17 | -66.3 | 244.7 |
| 18 | -23.5 | 66.3 |
| 19 | -27.9 | 78.1 |
| 20 | -32.4 | 258.5 |
| 21 | -30.8 | 53.4 |